Entry from Alexandria: a geometry-optimized La4B14O27 structure (PBE-GGA).

```
90
Lattice="5.649 -3.248 0.000 5.649 3.248 0.000 -4.563 0.000 25.233" Properties=species:S:1:pos:R:3 pbc="T T T"
La 1.994 1.632 14.027
La 0.008 0.571 20.581
La 2.458 1.632 23.822
La 2.289 -0.571 7.965
La 4.445 0.571 17.268
La 4.276 -1.632 1.411
La 6.726 -0.571 4.652
La 4.740 -1.632 11.206
B 2.350 2.135 10.653
B 4.175 2.611 7.917
B 4.841 2.611 4.700
B 4.209 1.686 1.376
B -0.614 0.499 17.026
B 1.405 1.723 17.797
B -0.606 0.928 24.053
B 6.666 2.135 1.964
B 1.668 -0.499 4.409
B 3.048 1.723 20.053
B 3.848 0.438 3.759
B 4.807 1.686 11.241
B 1.566 -0.438 16.376
B 1.675 -0.928 11.437
B 5.059 0.928 13.796
B 5.168 0.438 8.857
B 1.927 -1.686 13.992
B 2.886 -0.438 21.474
B 3.686 -1.723 5.180
B 5.067 0.499 20.824
B 0.069 -2.135 23.269
B 7.340 -0.928 1.180
B 5.329 -1.723 7.436
B 7.348 -0.499 8.207
B 2.525 -1.686 23.857
B 1.894 -2.611 20.533
B 2.559 -2.611 17.316
B 4.384 -2.135 14.580
O 1.769 1.909 9.414
O 1.584 1.899 11.737
O -0.039 1.389 18.078
O -0.293 0.058 7.758
O 0.371 0.060 4.807
O 3.690 2.576 10.764
O 5.326 2.576 1.852
O -2.575 -0.058 20.374
O -1.976 0.653 23.974
O -1.910 -0.060 17.424
O 2.509 0.697 4.254
O 0.181 0.972 22.947
O 4.602 1.105 0.050
O 1.944 0.993 16.610
O 3.968 0.590 2.295
O 2.226 1.311 18.925
O 4.156 1.254 8.131
O 0.305 -0.653 11.357
O 4.860 1.254 4.486
O 7.432 1.899 0.879
O 0.228 -0.697 16.870
O 7.247 1.909 3.203
O 2.509 0.993 21.240
O 4.414 1.105 12.566
O 4.272 0.972 14.902
O 1.687 -0.590 14.911
O 2.243 -1.389 5.462
O 4.491 1.389 19.771
O 5.048 0.590 10.322
O 2.463 -0.972 10.331
O 2.320 -1.105 12.667
O 4.226 -0.993 3.993
O -0.512 -1.909 22.030
O 6.507 0.697 8.363
O -0.697 -1.899 24.354
O 1.874 -1.254 20.747
O 6.429 0.653 13.876
O 2.579 -1.254 17.102
O 4.508 -1.311 6.308
O 2.766 -0.590 22.938
O 4.790 -0.993 8.623
O 2.133 -1.105 25.183
O 6.553 -0.972 2.286
O 4.225 -0.697 20.979
O 8.645 0.060 7.809
O 8.710 -0.653 1.260
O 9.309 0.058 4.859
O 1.408 -2.576 23.381
O 3.045 -2.576 14.469
O 6.363 -0.060 20.426
O 7.027 -0.058 17.475
O 6.773 -1.389 7.155
O 5.150 -1.899 13.496
O 4.965 -1.909 15.819
```

Output
The value obtained for the total energy is -8.23 eV per atom. As for the space-group type: C2/c. The theoretical density comes out at 4.085 g cm⁻³.